FeOsO after structural relaxation. Source: Alexandria via LeMat-Bulk, functional PBE+U.

Computed properties:
For the density of states at the Fermi level, the calculation gives 2.53 states/eV/cell. Its total magnetization is 3.60 μB/f.u. The final energy comes out at -22.165 eV per formula unit. Its space-group type is No. 8.

Cell lengths 5.7928, 5.7928, 4.9405 Å; angles 109.98, 109.98, 28.95 degrees
Closest atoms and distances in Å follow each position.
Sites, in units of the cell vectors:
Fe (0.0000, 0.0000, 0.0000)  2 O 2.04
Fe (0.7182, 0.7182, 0.2823)  2 O 2.05
Os (0.2039, 0.2039, 0.7282)  2 O 2.08-2.14
Os (0.5094, 0.5094, 0.4748)  2 O 2.10-2.14
O (0.3195, 0.3195, 0.1631)  2 Fe 2.05, 2 Os 2.08-2.14
O (0.3947, 0.3947, 0.7303)  2 Fe 2.04, 2 Os 2.10-2.14